Entry 1:
DFT (PBE-GGA) results for crystalline DyHo6Er3Tm2 at its relaxed geometry.

Lattice parameters (Å, degrees): 6.071 6.071 11.621 94.98 94.98 119.93
Sites, in units of the cell vectors:
Dy 0.000 0.000 0.000
Ho 0.084 0.417 0.250
Ho 0.250 0.250 0.750
Ho 0.417 0.084 0.250
Ho 0.583 0.916 0.750
Ho 0.750 0.750 0.250
Ho 0.916 0.583 0.750
Er 0.167 0.833 0.500
Er 0.500 0.500 0.500
Er 0.833 0.167 0.500
Tm 0.333 0.667 0.000
Tm 0.667 0.333 0.000

E_tot (eV/cell): -54.445
M_tot (μB/atom): 0.000
Energy of formation from the pure elements (meV/atom): 21



Entry 2:
DFT (PBE-GGA) results for crystalline Y3ScCd2 at its relaxed geometry.

Lattice parameters (Å, degrees): 5.201 9.363 6.687 90.00 90.00 90.00
Sites, in units of the cell vectors:
Y 0.000 0.041 0.000
Y 0.000 0.331 0.332
Y 0.000 0.669 0.832
Y 0.000 0.959 0.500
Y 0.500 0.186 0.701
Y 0.500 0.814 0.201
Sc 0.500 0.458 0.039
Sc 0.500 0.542 0.539
Cd 0.000 0.350 0.804
Cd 0.000 0.650 0.304
Cd 0.500 0.153 0.236
Cd 0.500 0.847 0.736

Energy above the most stable polymorph in this dataset (meV/atom): 0
E_tot (eV/cell): -57.754
M_tot (μB/atom): 0.000
Energy of formation from the pure elements (meV/atom): -221



Entry 3:
DFT (PBE-GGA) results for crystalline DySbPdRu at its relaxed geometry.

Lattice parameters (Å, degrees): 4.736 4.736 4.736 60.00 60.00 60.00
Sites, in units of the cell vectors:
Dy 0.000 0.000 0.000
Sb 0.500 0.500 0.500
Pd 0.250 0.250 0.250
Ru 0.750 0.750 0.750

E_tot (eV/cell): -25.223
M_tot (μB/atom): 0.000